Entry 1:
! RbPt4Pb12 (GGA-PBE, relaxed); values from VASP
&SYSTEM
  ibrav = 0, nat = 17, ntyp = 3
/
ATOMIC_SPECIES
Pt 195.08 Pt.upf
Pb 207.20 Pb.upf
Rb 85.47 Rb.upf
CELL_PARAMETERS angstrom
-1.692 0.108 8.478
0.317 -8.184 -2.772
7.607 3.837 -1.470
ATOMIC_POSITIONS crystal
Pt 0.500 0.500 0.500
Pt 0.500 0.000 0.000
Pt 0.000 0.000 0.500
Pt 0.000 0.500 0.000
Pb 0.658 0.496 0.838
Pb 0.838 0.658 0.496
Pb 0.838 0.342 0.180
Pb 0.342 0.180 0.838
Pb 0.658 0.820 0.162
Pb 0.820 0.162 0.658
Pb 0.180 0.838 0.342
Pb 0.496 0.838 0.658
Pb 0.342 0.504 0.162
Pb 0.504 0.162 0.342
Pb 0.162 0.342 0.504
Pb 0.162 0.658 0.820
Rb 0.000 0.000 0.000
! V: 29.3 A^3/atom
! SG: Im-3, No. 204
! Formation enthalpy at 0 K: -0.10 eV per atom



Entry 2:
! RbPtPb (GGA-PBE, relaxed); values from VASP
&SYSTEM
  ibrav = 0, nat = 12, ntyp = 3
/
ATOMIC_SPECIES
Pb 207.20 Pb.upf
Pt 195.08 Pt.upf
Rb 85.47 Rb.upf
CELL_PARAMETERS angstrom
-3.154 3.101 0.981
-5.431 -3.812 -5.415
-4.618 -6.846 6.787
ATOMIC_POSITIONS crystal
Pb 0.000 0.908 0.172
Pb 0.000 0.092 0.828
Pb 0.500 0.592 0.328
Pb 0.500 0.408 0.672
Pt 0.500 0.921 0.313
Pt 0.000 0.421 0.813
Pt 0.000 0.579 0.187
Pt 0.500 0.079 0.687
Rb 0.500 0.718 0.928
Rb 0.000 0.218 0.428
Rb 0.500 0.282 0.072
Rb 0.000 0.782 0.572
! V: 34.1 A^3/atom
! SG: C2/m, No. 12
! Offset from the most stable computed form: 97 meV/atom
! Formation enthalpy at 0 K: -0.14 eV per atom



Entry 3:
! RbPt3Pb6 (GGA-PBE, relaxed); values from VASP
&SYSTEM
  ibrav = 0, nat = 20, ntyp = 3
/
ATOMIC_SPECIES
Pb 207.20 Pb.upf
Pt 195.08 Pt.upf
Rb 85.47 Rb.upf
CELL_PARAMETERS angstrom
-3.249 -1.036 3.126
7.648 -4.607 6.422
0.803 10.414 4.286
ATOMIC_POSITIONS crystal
Pb 0.250 0.560 0.419
Pb 0.250 0.106 0.975
Pb 0.250 0.838 0.591
Pb 0.750 0.663 0.233
Pb 0.750 0.894 0.025
Pb 0.750 0.390 0.053
Pb 0.750 0.724 0.759
Pb 0.750 0.440 0.581
Pb 0.250 0.337 0.767
Pb 0.750 0.162 0.409
Pb 0.250 0.276 0.241
Pb 0.250 0.610 0.947
Pt 0.750 0.484 0.831
Pt 0.250 0.516 0.169
Pt 0.750 0.694 0.502
Pt 0.250 0.306 0.498
Pt 0.250 0.854 0.865
Pt 0.750 0.146 0.135
Rb 0.250 0.923 0.282
Rb 0.750 0.077 0.718
! V: 28.5 A^3/atom
! SG: P2_1/m, No. 11
! Formation enthalpy at 0 K: -0.20 eV per atom



Entry 4:
! Rb3Pt2Pb3 (GGA-PBE, relaxed); values from VASP
&SYSTEM
  ibrav = 0, nat = 32, ntyp = 3
/
ATOMIC_SPECIES
Pb 207.20 Pb.upf
Rb 85.47 Rb.upf
Pt 195.08 Pt.upf
CELL_PARAMETERS angstrom
-3.363 -4.402 -4.391
8.269 -3.706 -2.618
-1.172 -11.130 12.055
ATOMIC_POSITIONS crystal
Pb 0.521 0.357 0.750
Pb 0.120 0.156 0.964
Pb 0.380 0.656 0.964
Pb 0.880 0.844 0.464
Pb 0.380 0.656 0.536
Pb 0.620 0.344 0.036
Pb 0.620 0.344 0.464
Pb 0.979 0.857 0.750
Pb 0.021 0.143 0.250
Pb 0.120 0.156 0.536
Pb 0.479 0.643 0.250
Pb 0.880 0.844 0.036
Rb 0.595 0.042 0.614
Rb 0.547 0.272 0.250
Rb 0.905 0.542 0.614
Rb 0.047 0.228 0.750
Rb 0.405 0.958 0.114
Rb 0.453 0.728 0.750
Rb 0.095 0.458 0.114
Rb 0.095 0.458 0.386
Rb 0.405 0.958 0.386
Rb 0.953 0.772 0.250
Rb 0.905 0.542 0.886
Rb 0.595 0.042 0.886
Pt 0.865 0.125 0.096
Pt 0.135 0.875 0.904
Pt 0.365 0.375 0.904
Pt 0.865 0.125 0.404
Pt 0.635 0.625 0.404
Pt 0.365 0.375 0.596
Pt 0.135 0.875 0.596
Pt 0.635 0.625 0.096
! V: 34.3 A^3/atom
! SG: Pnma, No. 62
! Formation enthalpy at 0 K: -0.12 eV per atom



Entry 5:
! Rb2Pt4Pb5 (GGA-PBE, relaxed); values from VASP
&SYSTEM
  ibrav = 0, nat = 11, ntyp = 3
/
ATOMIC_SPECIES
Pb 207.20 Pb.upf
Rb 85.47 Rb.upf
Pt 195.08 Pt.upf
CELL_PARAMETERS angstrom
7.068 0.000 0.000
3.534 6.220 -1.606
3.534 -0.313 8.093
ATOMIC_POSITIONS crystal
Pb 0.674 0.212 0.930
Pb 0.184 0.212 0.930
Pb 0.326 0.788 0.070
Pb 0.816 0.788 0.070
Pb 0.000 0.500 0.500
Rb 0.306 0.837 0.550
Rb 0.694 0.163 0.450
Pt 0.836 0.491 0.837
Pt 0.164 0.509 0.163
Pt 0.679 0.883 0.759
Pt 0.321 0.117 0.241
! V: 32.0 A^3/atom
! SG: C2/m, No. 12
! Formation enthalpy at 0 K: -0.12 eV per atom



Entry 6:
! RbPt2Pb2 (GGA-PBE, relaxed); values from VASP
&SYSTEM
  ibrav = 0, nat = 10, ntyp = 3
/
ATOMIC_SPECIES
Pb 207.20 Pb.upf
Pt 195.08 Pt.upf
Rb 85.47 Rb.upf
CELL_PARAMETERS angstrom
-1.495 -4.929 -7.203
7.521 2.980 -3.600
1.590 -2.414 1.322
ATOMIC_POSITIONS crystal
Pb 0.633 0.133 0.000
Pb 0.367 0.867 0.000
Pb 0.867 0.633 0.000
Pb 0.133 0.367 0.000
Pt 0.840 0.340 0.500
Pt 0.160 0.660 0.500
Pt 0.660 0.840 0.500
Pt 0.340 0.160 0.500
Rb 0.000 0.000 0.000
Rb 0.500 0.500 0.000
! V: 24.9 A^3/atom
! SG: P4/mbm, No. 127
! Offset from the most stable computed form: 224 meV/atom
! Formation enthalpy at 0 K: -0.03 eV per atom



Entry 7:
! RbPtPb2 (GGA-PBE, relaxed); values from VASP
&SYSTEM
  ibrav = 0, nat = 8, ntyp = 3
/
ATOMIC_SPECIES
Pb 207.20 Pb.upf
Rb 85.47 Rb.upf
Pt 195.08 Pt.upf
CELL_PARAMETERS angstrom
-1.112 -3.784 0.114
5.369 -1.740 -5.379
5.714 -1.492 6.186
ATOMIC_POSITIONS crystal
Pb 0.000 0.665 0.700
Pb 0.500 0.335 0.800
Pb 0.000 0.665 0.300
Pb 0.500 0.335 0.200
Rb 0.500 0.895 0.000
Rb 0.000 0.105 0.500
Pt 0.500 0.517 0.500
Pt 0.000 0.483 0.000
! V: 32.9 A^3/atom
! SG: Pmmn, No. 59
! Formation enthalpy at 0 K: -0.23 eV per atom



Entry 8:
! RbPtPb2 (GGA-PBE, relaxed); values from VASP
&SYSTEM
  ibrav = 0, nat = 4, ntyp = 3
/
ATOMIC_SPECIES
Pt 195.08 Pt.upf
Pb 207.20 Pb.upf
Rb 85.47 Rb.upf
CELL_PARAMETERS angstrom
4.610 0.000 0.000
2.305 3.992 0.000
2.305 1.331 7.323
ATOMIC_POSITIONS crystal
Pt 0.669 0.669 0.994
Pb 0.285 0.285 0.144
Pb 0.047 0.047 0.858
Rb 0.499 0.499 0.504
! V: 33.7 A^3/atom
! SG: R3m, No. 160
! Formation enthalpy at 0 K: -0.25 eV per atom



Entry 9:
! RbPt2Pb5 (GGA-PBE, relaxed); values from VASP
&SYSTEM
  ibrav = 0, nat = 8, ntyp = 3
/
ATOMIC_SPECIES
Pt 195.08 Pt.upf
Pb 207.20 Pb.upf
Rb 85.47 Rb.upf
CELL_PARAMETERS angstrom
1.050 4.498 0.340
1.271 1.502 7.746
7.447 0.430 2.867
ATOMIC_POSITIONS crystal
Pt 0.215 0.285 0.285
Pt 0.785 0.715 0.715
Pb 0.000 0.500 0.500
Pb 0.656 0.557 0.132
Pb 0.344 0.443 0.868
Pb 0.344 0.868 0.443
Pb 0.656 0.132 0.557
Rb 0.000 0.000 0.000
! V: 30.1 A^3/atom
! SG: Immm, No. 71
! Formation enthalpy at 0 K: -0.17 eV per atom



Entry 10:
! RbPtPb2 (GGA-PBE, relaxed); values from VASP
&SYSTEM
  ibrav = 0, nat = 4, ntyp = 3
/
ATOMIC_SPECIES
Rb 85.47 Rb.upf
Pb 207.20 Pb.upf
Pt 195.08 Pt.upf
CELL_PARAMETERS angstrom
0.000 3.760 3.760
3.760 0.000 3.760
3.760 3.760 0.000
ATOMIC_POSITIONS crystal
Rb 0.000 0.000 0.000
Pb 0.250 0.250 0.250
Pb 0.750 0.750 0.750
Pt 0.500 0.500 0.500
! V: 26.6 A^3/atom
! SG: Fm-3m, No. 225
! Formation enthalpy at 0 K: 0.17 eV per atom



> Which of these has the highest V?

Rb3Pt2Pb3



Copy entry 8 word for word.
! RbPtPb2 (GGA-PBE, relaxed); values from VASP
&SYSTEM
  ibrav = 0, nat = 4, ntyp = 3
/
ATOMIC_SPECIES
Pt 195.08 Pt.upf
Pb 207.20 Pb.upf
Rb 85.47 Rb.upf
CELL_PARAMETERS angstrom
4.610 0.000 0.000
2.305 3.992 0.000
2.305 1.331 7.323
ATOMIC_POSITIONS crystal
Pt 0.669 0.669 0.994
Pb 0.285 0.285 0.144
Pb 0.047 0.047 0.858
Rb 0.499 0.499 0.504
! V: 33.7 A^3/atom
! SG: R3m, No. 160
! Formation enthalpy at 0 K: -0.25 eV per atom



> Which of these has the lowest formation enthalpy at 0 K?

number 8



> What is the formation enthalpy at 0 K in the third record?

-0.20 eV per atom